The following is a DFT calculation (PBE) of a relaxed structure of RbBa2CoGe.

Its total energy is -16.1 eV per formula unit. As for the theoretical density: 4.6 Mg/m³.

Cell and atoms, written as CIF:
```
data_RbBa2CoGe
_cell_length_a 6.136
_cell_length_b 6.136
_cell_length_c 4.747
_cell_angle_alpha 90.00
_cell_angle_beta 90.00
_cell_angle_gamma 90.00
_space_group_name_H-M_alt 'P 4/m m m'
_space_group_IT_number 123
_space_group_name_Hall '-P 4 2'
loop_
_atom_site_label
_atom_site_type_symbol
_atom_site_fract_x
_atom_site_fract_y
_atom_site_fract_z
Rb1 Rb 0.000 0.000 0.000
Ba1 Ba 0.000 0.500 0.500
Co1 Co 0.500 0.500 0.500
Ge1 Ge 0.500 0.500 0.000
```

=====

The following is a DFT calculation (PBE) of a relaxed structure of LaAl3O.

The value obtained for the uncorrected formation energy is 1.6540 eV per atom. As for the theoretical density: 1.9 Mg/m³. As for the energy above the lowest structure with this stoichiometry: 2159 meV/atom.

Cell and atoms, written as CIF:
```
data_LaAl3O
_cell_length_a 5.876
_cell_length_b 5.876
_cell_length_c 5.876
_cell_angle_alpha 90.00
_cell_angle_beta 90.00
_cell_angle_gamma 90.00
_space_group_name_H-M_alt 'P m -3 m'
_space_group_IT_number 221
_space_group_name_Hall '-P 4 2 3'
loop_
_atom_site_label
_atom_site_type_symbol
_atom_site_fract_x
_atom_site_fract_y
_atom_site_fract_z
La1 La 0.000 0.000 0.000
Al1 Al 0.000 0.000 0.500
O1 O 0.500 0.500 0.500
```

=====

The following is a DFT calculation (PBE) of a relaxed structure of Cr2GaTcC.

Its total energy is -41.7 eV per formula unit. As for the theoretical density: 7.7 Mg/m³.

Cell and atoms, written as CIF:
```
data_Cr2GaTcC
_cell_length_a 3.879
_cell_length_b 3.879
_cell_length_c 4.058
_cell_angle_alpha 90.00
_cell_angle_beta 90.00
_cell_angle_gamma 90.00
_space_group_name_H-M_alt 'P 4/m m m'
_space_group_IT_number 123
_space_group_name_Hall '-P 4 2'
loop_
_atom_site_label
_atom_site_type_symbol
_atom_site_fract_x
_atom_site_fract_y
_atom_site_fract_z
Cr1 Cr 0.000 0.500 0.000
Ga1 Ga 0.000 0.000 0.500
Tc1 Tc 0.500 0.500 0.500
C1 C 0.500 0.500 0.000
```

=====

The following is a DFT calculation (PBE) of a relaxed structure of La8Y2Ho3.

As for the theoretical density: 6.4 Mg/m³. As for the energy above the lowest structure with this stoichiometry: 33 meV/atom.

Cell and atoms, written as CIF:
```
data_La8Y2Ho3
_cell_length_a 20.640
_cell_length_b 7.747
_cell_length_c 5.832
_cell_angle_alpha 90.00
_cell_angle_beta 90.03
_cell_angle_gamma 90.00
_space_group_name_H-M_alt 'C 1 2/m 1'
_space_group_IT_number 12
_space_group_name_Hall '-C 2y'
loop_
_atom_site_label
_atom_site_type_symbol
_atom_site_fract_x
_atom_site_fract_y
_atom_site_fract_z
La1 La 0.105 0.200 0.000
La2 La 0.130 0.500 0.499
La3 La 0.174 0.000 0.501
Y1 Y 0.240 0.500 0.999
Ho1 Ho 0.000 0.217 0.500
Ho2 Ho 0.000 0.500 0.000
```

=====

The following is a DFT calculation (PBE) of a relaxed structure of Y4TmCo2.

Its total energy is -44.8 eV per formula unit. As for the theoretical density: 6.1 Mg/m³.

Cell and atoms, written as CIF:
```
data_Y4TmCo2
_cell_length_a 7.663
_cell_length_b 6.340
_cell_length_c 7.770
_cell_angle_alpha 90.00
_cell_angle_beta 112.91
_cell_angle_gamma 90.00
_space_group_name_H-M_alt 'P 1 21/m 1'
_space_group_IT_number 11
_space_group_name_Hall '-P 2yb'
loop_
_atom_site_label
_atom_site_type_symbol
_atom_site_fract_x
_atom_site_fract_y
_atom_site_fract_z
Y1 Y 0.125 0.250 0.479
Y2 Y 0.176 0.750 0.253
Y3 Y 0.261 0.502 0.913
Tm1 Tm 0.471 0.250 0.334
Co1 Co 0.094 0.250 0.128
Co2 Co 0.486 0.250 0.763
```

=====

The following is a DFT calculation (PBE) of a relaxed structure of Ga2CoCl.

The value obtained for the uncorrected formation energy is 0.1257 eV per atom. As for the theoretical density: 4.2 Mg/m³. As for the energy above the lowest structure with this stoichiometry: 0 meV/atom.

Cell and atoms, written as CIF:
```
data_Ga2CoCl
_cell_length_a 6.044
_cell_length_b 6.044
_cell_length_c 10.166
_cell_angle_alpha 90.00
_cell_angle_beta 90.00
_cell_angle_gamma 90.00
_space_group_name_H-M_alt 'I -4 2 d'
_space_group_IT_number 122
_space_group_name_Hall 'I -4 2bw'
loop_
_atom_site_label
_atom_site_type_symbol
_atom_site_fract_x
_atom_site_fract_y
_atom_site_fract_z
Ga1 Ga 0.190 0.250 0.125
Co1 Co 0.000 0.000 0.000
Cl1 Cl 0.000 0.000 0.500
```

=====

The following is a DFT calculation (PBE) of a relaxed structure of Ba6HN2F3.

Its total energy is -56.4 eV per formula unit. As for the theoretical density: 5.4 Mg/m³.

Cell and atoms, written as CIF:
```
data_Ba6HN2F3
_cell_length_a 7.018
_cell_length_b 12.139
_cell_length_c 7.023
_cell_angle_alpha 90.00
_cell_angle_beta 109.54
_cell_angle_gamma 90.00
_space_group_name_H-M_alt 'C 1 2/m 1'
_space_group_IT_number 12
_space_group_name_Hall '-C 2y'
loop_
_atom_site_label
_atom_site_type_symbol
_atom_site_fract_x
_atom_site_fract_y
_atom_site_fract_z
Ba1 Ba 0.228 0.000 0.239
Ba2 Ba 0.247 0.175 0.765
H1 H 0.000 0.500 0.000
N1 N 0.000 0.166 0.000
F1 F 0.000 0.000 0.500
F2 F 0.000 0.327 0.500
```

=====

The following is a DFT calculation (PBE) of a relaxed structure of TbEr5Tm2Mg.

Its total energy is -37.0 eV per formula unit. As for the theoretical density: 8.2 Mg/m³.

Cell and atoms, written as CIF:
```
data_TbEr5Tm2Mg
_cell_length_a 5.358
_cell_length_b 19.793
_cell_length_c 10.380
_cell_angle_alpha 90.00
_cell_angle_beta 90.00
_cell_angle_gamma 90.00
_space_group_name_H-M_alt 'C m c 21'
_space_group_IT_number 36
_space_group_name_Hall 'C 2c -2'
loop_
_atom_site_label
_atom_site_type_symbol
_atom_site_fract_x
_atom_site_fract_y
_atom_site_fract_z
Tb1 Tb 0.000 0.205 0.000
Er1 Er 0.000 0.013 0.000
Er2 Er 0.000 0.290 0.298
Er3 Er 0.000 0.290 0.702
Er4 Er 0.000 0.383 0.000
Er5 Er 0.000 0.500 0.250
Tm1 Tm 0.000 0.114 0.287
Tm2 Tm 0.000 0.114 0.713
Mg1 Mg 0.000 0.405 0.499
```

=====

The following is a DFT calculation (PBE) of a relaxed structure of NdTmCdOs.

Its total energy is -21.9 eV per formula unit. As for the theoretical density: 11.1 Mg/m³.

Cell and atoms, written as CIF:
```
data_NdTmCdOs
_cell_length_a 7.169
_cell_length_b 7.169
_cell_length_c 7.169
_cell_angle_alpha 90.00
_cell_angle_beta 90.00
_cell_angle_gamma 90.00
_space_group_name_H-M_alt 'F -4 3 m'
_space_group_IT_number 216
_space_group_name_Hall 'F -4 2 3'
loop_
_atom_site_label
_atom_site_type_symbol
_atom_site_fract_x
_atom_site_fract_y
_atom_site_fract_z
Nd1 Nd 0.000 0.000 0.000
Tm1 Tm 0.000 0.000 0.500
Cd1 Cd 0.250 0.250 0.750
Os1 Os 0.250 0.250 0.250
```

=====

The following is a DFT calculation (PBE) of a relaxed structure of La3InAg2.

As for the theoretical density: 7.1 Mg/m³. As for the energy above the lowest structure with this stoichiometry: 2 meV/atom.

Cell and atoms, written as CIF:
```
data_La3InAg2
_cell_length_a 5.4800
_cell_length_b 5.4800
_cell_length_c 13.4372
_cell_angle_alpha 90.00
_cell_angle_beta 90.00
_cell_angle_gamma 120.00
_space_group_name_H-M_alt 'P -3 m 1'
_space_group_IT_number 164
_space_group_name_Hall '-P 3 2"'
loop_
_atom_site_label
_atom_site_type_symbol
_atom_site_fract_x
_atom_site_fract_y
_atom_site_fract_z
La1 La 0.0000 0.0000 0.2429
La2 La 0.3333 0.6667 0.4192
La3 La 0.3333 0.6667 0.9252
In1 In 0.3333 0.6667 0.6718
Ag1 Ag 0.0000 0.0000 0.0000
Ag2 Ag 0.0000 0.0000 0.5000
Ag3 Ag 0.3333 0.6667 0.1736
```

=====

The following is a DFT calculation (PBE) of a relaxed structure of La3YTm2Bi6.

Its total energy is -64.7 eV per formula unit. As for the theoretical density: 8.6 Mg/m³.

Cell and atoms, written as CIF:
```
data_La3YTm2Bi6
_cell_length_a 7.949
_cell_length_b 13.766
_cell_length_c 7.897
_cell_angle_alpha 90.00
_cell_angle_beta 109.59
_cell_angle_gamma 90.00
_space_group_name_H-M_alt 'C 1 2/m 1'
_space_group_IT_number 12
_space_group_name_Hall '-C 2y'
loop_
_atom_site_label
_atom_site_type_symbol
_atom_site_fract_x
_atom_site_fract_y
_atom_site_fract_z
La1 La 0.000 0.000 0.000
La2 La 0.000 0.334 0.000
Y1 Y 0.000 0.500 0.500
Tm1 Tm 0.000 0.167 0.500
Bi1 Bi 0.243 0.000 0.734
Bi2 Bi 0.246 0.332 0.736
```

=====

The following is a DFT calculation (PBE) of a relaxed structure of CeSmGeH.

Its total energy is -21.3 eV per formula unit. As for the theoretical density: 7.8 Mg/m³.

Cell and atoms, written as CIF:
```
data_CeSmGeH
_cell_length_a 4.152
_cell_length_b 4.152
_cell_length_c 9.009
_cell_angle_alpha 90.00
_cell_angle_beta 90.00
_cell_angle_gamma 90.00
_space_group_name_H-M_alt 'P 4/n m m'
_space_group_IT_number 129
loop_
_space_group_symop_operation_xyz
'x,y,z'
'-x,-y,-z'
'-y+1/2,x,z'
'y+1/2,-x,-z'
'-x+1/2,-y+1/2,z'
'x+1/2,y+1/2,-z'
'y,-x+1/2,z'
'-y,x+1/2,-z'
'x+1/2,-y,-z'
'-x+1/2,y,z'
'-y,-x,-z'
'y,x,z'
'-x,y+1/2,-z'
'x,-y+1/2,z'
'y+1/2,x+1/2,-z'
'-y+1/2,-x+1/2,z'
loop_
_atom_site_label
_atom_site_type_symbol
_atom_site_fract_x
_atom_site_fract_y
_atom_site_fract_z
Ce1 Ce 0.250 0.750 0.000
Sm1 Sm 0.250 0.250 0.375
Ge1 Ge 0.250 0.250 0.752
H1 H 0.250 0.750 0.500
```

=====

The following is a DFT calculation (PBE) of a relaxed structure of Pm4Ho6Th.

Its total energy is -52.4 eV per formula unit. As for the theoretical density: 8.3 Mg/m³.

Cell and atoms, written as CIF:
```
data_Pm4Ho6Th
_cell_length_a 5.770
_cell_length_b 9.644
_cell_length_c 25.798
_cell_angle_alpha 90.00
_cell_angle_beta 90.00
_cell_angle_gamma 90.00
_space_group_name_H-M_alt 'C m c m'
_space_group_IT_number 63
_space_group_name_Hall '-C 2c 2'
loop_
_atom_site_label
_atom_site_type_symbol
_atom_site_fract_x
_atom_site_fract_y
_atom_site_fract_z
Pm1 Pm 0.000 0.032 0.123
Pm2 Pm 0.000 0.344 0.043
Ho1 Ho 0.000 0.000 0.000
Ho2 Ho 0.000 0.029 0.250
Ho3 Ho 0.000 0.310 0.603
Ho4 Ho 0.000 0.362 0.184
Th1 Th 0.000 0.307 0.750
```

=====

The following is a DFT calculation (PBE) of a relaxed structure of CsNaTl2.

As for the theoretical density: 6.0 Mg/m³. As for the energy above the lowest structure with this stoichiometry: 159 meV/atom.

Cell and atoms, written as CIF:
```
data_CsNaTl2
_cell_length_a 8.569
_cell_length_b 8.569
_cell_length_c 8.569
_cell_angle_alpha 90.00
_cell_angle_beta 90.00
_cell_angle_gamma 90.00
_space_group_name_H-M_alt 'F m -3 m'
_space_group_IT_number 225
_space_group_name_Hall '-F 4 2 3'
loop_
_atom_site_label
_atom_site_type_symbol
_atom_site_fract_x
_atom_site_fract_y
_atom_site_fract_z
Cs1 Cs 0.000 0.000 0.000
Na1 Na 0.000 0.000 0.500
Tl1 Tl 0.250 0.250 0.250
```

=====

The following is a DFT calculation (PBE) of a relaxed structure of TbGdAlRh.

Its total energy is -31.9 eV per formula unit. As for the theoretical density: 8.3 Mg/m³.

Cell and atoms, written as CIF:
```
data_TbGdAlRh
_cell_length_a 7.106
_cell_length_b 7.106
_cell_length_c 7.106
_cell_angle_alpha 90.00
_cell_angle_beta 90.00
_cell_angle_gamma 90.00
_space_group_name_H-M_alt 'F -4 3 m'
_space_group_IT_number 216
_space_group_name_Hall 'F -4 2 3'
loop_
_atom_site_label
_atom_site_type_symbol
_atom_site_fract_x
_atom_site_fract_y
_atom_site_fract_z
Tb1 Tb 0.000 0.000 0.000
Gd1 Gd 0.000 0.000 0.500
Al1 Al 0.250 0.250 0.250
Rh1 Rh 0.250 0.250 0.750
```

=====

The following is a DFT calculation (PBE) of a relaxed structure of Pr6Te2C3.

The value obtained for the uncorrected formation energy is -0.5730 eV per atom. As for the theoretical density: 6.3 Mg/m³.

Cell and atoms, written as CIF:
```
data_Pr6Te2C3
_cell_length_a 6.753
_cell_length_b 11.729
_cell_length_c 7.933
_cell_angle_alpha 90.00
_cell_angle_beta 106.84
_cell_angle_gamma 90.00
_space_group_name_H-M_alt 'C 1 2/m 1'
_space_group_IT_number 12
_space_group_name_Hall '-C 2y'
loop_
_atom_site_label
_atom_site_type_symbol
_atom_site_fract_x
_atom_site_fract_y
_atom_site_fract_z
Pr1 Pr 0.226 0.171 0.187
Pr2 Pr 0.236 0.500 0.180
Te1 Te 0.000 0.164 0.500
C1 C 0.000 0.000 0.000
C2 C 0.000 0.327 0.000
```

=====

The following is a DFT calculation (PBE) of a relaxed structure of ZnIn2Ag.

Its total energy is -8.9 eV per formula unit. As for the theoretical density: 7.2 Mg/m³.

Cell and atoms, written as CIF:
```
data_ZnIn2Ag
_cell_length_a 7.893
_cell_length_b 7.893
_cell_length_c 5.982
_cell_angle_alpha 90.00
_cell_angle_beta 90.00
_cell_angle_gamma 90.00
_space_group_name_H-M_alt 'I -4 2 d'
_space_group_IT_number 122
_space_group_name_Hall 'I -4 2bw'
loop_
_atom_site_label
_atom_site_type_symbol
_atom_site_fract_x
_atom_site_fract_y
_atom_site_fract_z
Zn1 Zn 0.000 0.000 0.000
In1 In 0.243 0.250 0.125
Ag1 Ag 0.000 0.000 0.500
```

=====

The following is a DFT calculation (PBE) of a relaxed structure of K2CaMgP2.

Its total energy is -20.9 eV per formula unit. As for the theoretical density: 2.0 Mg/m³.

Cell and atoms, written as CIF:
```
data_K2CaMgP2
_cell_length_a 6.793
_cell_length_b 14.913
_cell_length_c 6.749
_cell_angle_alpha 90.00
_cell_angle_beta 90.00
_cell_angle_gamma 90.00
_space_group_name_H-M_alt 'I b a m'
_space_group_IT_number 72
_space_group_name_Hall '-I 2 2c'
loop_
_atom_site_label
_atom_site_type_symbol
_atom_site_fract_x
_atom_site_fract_y
_atom_site_fract_z
K1 K 0.216 0.185 0.000
Ca1 Ca 0.000 0.500 0.250
Mg1 Mg 0.000 0.000 0.250
P1 P 0.230 0.092 0.500
```

=====

The following is a DFT calculation (PBE) of a relaxed structure of KZr2Os.

As for the theoretical density: 5.4 Mg/m³. As for the energy above the lowest structure with this stoichiometry: 307 meV/atom.

Cell and atoms, written as CIF:
```
data_KZr2Os
_cell_length_a 9.610
_cell_length_b 3.320
_cell_length_c 8.285
_cell_angle_alpha 90.00
_cell_angle_beta 107.27
_cell_angle_gamma 90.00
_space_group_name_H-M_alt 'C 1 m 1'
_space_group_IT_number 8
_space_group_name_Hall 'C -2y'
loop_
_atom_site_label
_atom_site_type_symbol
_atom_site_fract_x
_atom_site_fract_y
_atom_site_fract_z
K1 K 0.000 0.000 0.000
Zr1 Zr 0.131 0.500 0.613
Zr2 Zr 0.345 0.500 0.378
Os1 Os 0.357 0.000 0.615
```

=====

The following is a DFT calculation (PBE) of a relaxed structure of La2ScHAu.

Its total energy is -24.5 eV per formula unit. As for the theoretical density: 7.6 Mg/m³.

Cell and atoms, written as CIF:
```
data_La2ScHAu
_cell_length_a 5.211
_cell_length_b 5.211
_cell_length_c 4.218
_cell_angle_alpha 90.00
_cell_angle_beta 90.00
_cell_angle_gamma 90.00
_space_group_name_H-M_alt 'P 4/m m m'
_space_group_IT_number 123
_space_group_name_Hall '-P 4 2'
loop_
_atom_site_label
_atom_site_type_symbol
_atom_site_fract_x
_atom_site_fract_y
_atom_site_fract_z
La1 La 0.000 0.500 0.000
Sc1 Sc 0.000 0.000 0.500
H1 H 0.000 0.000 0.000
Au1 Au 0.500 0.500 0.500
```